Record 1
VASP calculation (GGA-PBE) on crystalline BaLiMg6 at its relaxed geometry.

- total magnetization (μB per cell) = 0.00
- VASP energy (eV/atom) = -1.6049
- space-group type = Amm2
- DOS(E_F) (states/eV per cell) = 5.16
- ρ (Mg/m³) = 2.159
- ΔH_f (0 K) (eV per formula unit) = 0.6
- offset from the most stable computed form (kJ/mol of formula units) = 51.7

CIF file:
```
data_BaLiMg6
_symmetry_space_group_name_H-M 'P 1'
_symmetry_Int_Tables_number 1
_symmetry_space_group_name_Hall 'P 1'
_cell_length_a 7.376
_cell_length_b 7.376
_cell_length_c 5.147
_cell_angle_alpha 90.00
_cell_angle_beta 90.00
_cell_angle_gamma 127.16
loop_
_atom_site_label
_atom_site_fract_x
_atom_site_fract_y
_atom_site_fract_z
_atom_site_occupancy
Mg1 0.800 0.666 0.500 1
Mg2 0.699 0.301 0.000 1
Mg3 0.334 0.200 0.500 1
Mg4 0.874 0.126 0.500 1
Mg5 0.684 0.813 0.000 1
Mg6 0.187 0.316 0.000 1
Ba1 0.296 0.704 0.500 1
Li1 0.126 0.874 0.000 1
```

Record 2
VASP calculation (GGA-PBE) on crystalline Th2AlZn5 at its relaxed geometry.

- total magnetization (μB per cell) = 0.00
- VASP energy (eV/atom) = -3.4431
- space-group type = Cmcm
- DOS(E_F) (states/eV per cell) = 9.75
- ρ (Mg/m³) = 8.382
- ΔH_f (0 K) (eV per formula unit) = -2.6

CIF file:
```
data_Th2AlZn5
_symmetry_space_group_name_H-M 'P 1'
_symmetry_Int_Tables_number 1
_symmetry_space_group_name_Hall 'P 1'
_cell_length_a 4.431
_cell_length_b 8.466
_cell_length_c 8.953
_cell_angle_alpha 90.00
_cell_angle_beta 90.00
_cell_angle_gamma 105.17
loop_
_atom_site_label
_atom_site_fract_x
_atom_site_fract_y
_atom_site_fract_z
_atom_site_occupancy
Zn1 0.350 0.700 0.981 1
Zn2 0.814 0.628 0.106 1
Zn3 0.186 0.372 0.606 1
Zn4 0.350 0.700 0.519 1
Zn5 0.596 0.193 0.750 1
Zn6 0.814 0.628 0.394 1
Zn7 0.650 0.300 0.481 1
Zn8 0.404 0.807 0.250 1
Zn9 0.186 0.372 0.894 1
Zn10 0.650 0.300 0.019 1
Al1 0.443 0.886 0.750 1
Al2 0.557 0.114 0.250 1
Th1 0.796 0.592 0.750 1
Th2 0.000 0.000 0.500 1
Th3 0.204 0.408 0.250 1
Th4 0.000 0.000 0.000 1
```

Record 3
VASP calculation (GGA-PBE) on crystalline TeAu2Br at its relaxed geometry.

- total magnetization (μB per cell) = 0.00
- VASP energy (eV/atom) = -2.8143
- space-group type = R-3m
- DOS(E_F) (states/eV per cell) = 2.15
- ρ (Mg/m³) = 10.045
- formation energy without anion corrections (meV per atom) = 28
- offset from the most stable computed form (kJ/mol of formula units) = 23.2

CIF file:
```
data_TeAu2Br
_symmetry_space_group_name_H-M 'P 1'
_symmetry_Int_Tables_number 1
_symmetry_space_group_name_Hall 'P 1'
_cell_length_a 7.314
_cell_length_b 7.314
_cell_length_c 7.314
_cell_angle_alpha 32.32
_cell_angle_beta 32.32
_cell_angle_gamma 32.32
loop_
_atom_site_label
_atom_site_fract_x
_atom_site_fract_y
_atom_site_fract_z
_atom_site_occupancy
Te1 0.750 0.750 0.750 1
Au1 0.493 0.493 0.493 1
Au2 0.007 0.007 0.007 1
Br1 0.250 0.250 0.250 1
```

Record 4
VASP calculation (GGA-PBE) on crystalline PmSmBiBr at its relaxed geometry.

- total magnetization (μB per cell) = 0.04
- VASP energy (eV/atom) = -4.7030
- space-group type = F-43m
- DOS(E_F) (states/eV per cell) = 3.23
- ρ (Mg/m³) = 8.536
- formation energy without anion corrections (meV per atom) = -947

CIF file:
```
data_PmSmBiBr
_symmetry_space_group_name_H-M 'P 1'
_symmetry_Int_Tables_number 1
_symmetry_space_group_name_Hall 'P 1'
_cell_length_a 5.437
_cell_length_b 5.437
_cell_length_c 5.437
_cell_angle_alpha 60.00
_cell_angle_beta 60.00
_cell_angle_gamma 60.00
loop_
_atom_site_label
_atom_site_fract_x
_atom_site_fract_y
_atom_site_fract_z
_atom_site_occupancy
Bi1 0.250 0.250 0.250 1
Pm1 0.000 0.000 0.000 1
Br1 0.750 0.750 0.750 1
Sm1 0.500 0.500 0.500 1
```

Record 5
VASP calculation (GGA-PBE) on crystalline CaMgSb2 at its relaxed geometry.

- total magnetization (μB per cell) = 0.00
- VASP energy (eV/atom) = -3.3888
- space-group type = Cmmm
- DOS(E_F) (states/eV per cell) = 1.53
- ρ (Mg/m³) = 4.742
- formation energy without anion corrections (meV per atom) = -429

CIF file:
```
data_CaMgSb2
_symmetry_space_group_name_H-M 'P 1'
_symmetry_Int_Tables_number 1
_symmetry_space_group_name_Hall 'P 1'
_cell_length_a 3.602
_cell_length_b 3.602
_cell_length_c 8.432
_cell_angle_alpha 90.00
_cell_angle_beta 90.00
_cell_angle_gamma 99.85
loop_
_atom_site_label
_atom_site_fract_x
_atom_site_fract_y
_atom_site_fract_z
_atom_site_occupancy
Ca1 0.500 0.500 0.250 1
Sb1 0.000 0.000 0.985 1
Sb2 0.000 0.000 0.515 1
Mg1 0.500 0.500 0.750 1
```

Record 6
VASP calculation (GGA-PBE) on crystalline Te2Rh at its relaxed geometry.

- total magnetization (μB per cell) = 0.00
- VASP energy (eV/atom) = -4.5916
- space-group type = I4/mmm
- DOS(E_F) (states/eV per cell) = 1.58
- ρ (Mg/m³) = 8.290
- formation energy without anion corrections (meV per atom) = -47

CIF file:
```
data_Te2Rh
_symmetry_space_group_name_H-M 'P 1'
_symmetry_Int_Tables_number 1
_symmetry_space_group_name_Hall 'P 1'
_cell_length_a 7.196
_cell_length_b 7.196
_cell_length_c 7.196
_cell_angle_alpha 153.95
_cell_angle_beta 153.95
_cell_angle_gamma 37.17
loop_
_atom_site_label
_atom_site_fract_x
_atom_site_fract_y
_atom_site_fract_z
_atom_site_occupancy
Te1 0.126 0.126 0.000 1
Te2 0.874 0.874 0.000 1
Rh1 0.500 0.500 0.000 1
```

- Number 2 is which compound?
  Th2AlZn5

- ρ of number 6 (Te2Rh)?
  8.290 Mg/m³